# 1
Compound: TbY2Mo2
Source: the Open Quantum Materials Database
Functional: PBE
Structure: relaxed

a = 4.5148 Å, b = 4.5148 Å, c = 7.1322 Å
α = 108.45°, β = 108.45°, γ = 90.00°
With the nearest neighbours (Å) after each atom.
Element x y z (fractional)
Mo1 0.5865 0.5865 0.1730  1 Mo 2.21
Mo2 0.4135 0.4135 0.8270  1 Mo 2.21
Tb1 0.0000 0.0000 0.0000  8 Mo 3.38
Y1 0.7500 0.2500 0.5000  4 Mo 3.07, 4 Y 3.19
Y2 0.2500 0.7500 0.5000  4 Mo 3.07, 4 Y 3.19

* energy above the most stable polymorph in this dataset: 0.0 meV/atom
* DFT formation energy: 536.3 meV/atom

***

# 2
Compound: Na2MgP2Os
Source: the Open Quantum Materials Database
Functional: PBE
Structure: relaxed

a = 4.0335 Å, b = 4.0335 Å, c = 6.9144 Å
α = 90.00°, β = 90.00°, γ = 90.00°
With the nearest neighbours (Å) after each atom.
Element x y z (fractional)
Mg1 0.0000 0.0000 0.0000  4 P 2.47
Na1 0.0000 0.5000 0.3597  5 P 3.01-3.05, 2 Os 3.20, 2 Mg 3.20
Na2 0.5000 0.0000 0.6403  5 P 3.01-3.05, 2 Os 3.20, 2 Mg 3.20
Os1 0.5000 0.5000 0.0000  4 P 2.47
P1 0.5000 0.0000 0.2051  2 Os 2.47, 2 Mg 2.47
P2 0.0000 0.5000 0.7949  2 Os 2.47, 2 Mg 2.47

* VASP energy: -4.6140 eV per atom

***

# 3
Compound: ZrCuBiAu
Source: the Open Quantum Materials Database
Functional: PBE
Structure: relaxed

a = 4.8647 Å, b = 4.8647 Å, c = 4.8647 Å
α = 60.00°, β = 60.00°, γ = 60.00°
With the nearest neighbours (Å) after each atom.
Element x y z (fractional)
Au1 0.5000 0.5000 0.5000  4 Zr 2.98, 4 Cu 2.98
Bi1 0.0000 0.0000 0.0000  4 Zr 2.98, 4 Cu 2.98
Cu1 0.7500 0.7500 0.7500  4 Bi 2.98, 4 Au 2.98
Zr1 0.2500 0.2500 0.2500  4 Au 2.98, 4 Bi 2.98

* energy above the most stable polymorph in this dataset: 0.0 meV/atom

***

# 4
Compound: Tc5Ge3
Source: the Open Quantum Materials Database
Functional: PBE
Structure: relaxed

a = 7.2786 Å, b = 7.2786 Å, c = 7.2786 Å
α = 96.68°, β = 96.68°, γ = 140.13°
With the nearest neighbours (Å) after each atom.
Element x y z (fractional)
Ge1 0.2500 0.2500 0.0000  2 Ge 2.48, 8 Tc 2.62
Ge2 0.7500 0.7500 0.0000  2 Ge 2.48, 8 Tc 2.62
Ge3 0.8304 0.3304 0.1608  10 Tc 2.54-2.83
Ge4 0.3304 0.1696 0.5000  10 Tc 2.54-2.83
Ge5 0.6696 0.8304 0.5000  10 Tc 2.54-2.83
Ge6 0.1696 0.6696 0.8392  10 Tc 2.54-2.83
Tc1 0.4252 0.7269 0.1521  6 Ge 2.54-2.83, 1 Tc 2.71
Tc2 0.2269 0.9252 0.1521  6 Ge 2.54-2.83, 1 Tc 2.71
Tc3 0.0748 0.2269 0.3017  6 Ge 2.54-2.83, 1 Tc 2.71
Tc4 0.7269 0.5748 0.3017  6 Ge 2.54-2.83, 1 Tc 2.71
Tc5 0.7500 0.2500 0.5000  2 Tc 2.48, 4 Ge 2.63
Tc6 0.2500 0.7500 0.5000  2 Tc 2.48, 4 Ge 2.63
Tc7 0.2731 0.4252 0.6983  6 Ge 2.54-2.83, 1 Tc 2.71
Tc8 0.9252 0.7731 0.6983  6 Ge 2.54-2.83, 1 Tc 2.71
Tc9 0.7731 0.0748 0.8479  6 Ge 2.54-2.83, 1 Tc 2.71
Tc10 0.5748 0.2731 0.8479  6 Ge 2.54-2.83, 1 Tc 2.71

* VASP energy: -8.2411 eV per atom

***

Result set for size of the total moment: 0.02; 0.00; 0.02; 0.04 μB/f.u., one per record in the order listed.